[1]
SrCdRe2O | Alexandria via LeMat-Bulk | GGA-PBE | relaxed; total DFT energy (no corrections) = -4.23 eV per atom; Fermi-level density of states = 0.529 states/eV per atom
1.0
5.026 0.000 0.000
0.000 5.026 0.000
0.000 0.000 6.289
Sr Cd Re O
1 1 2 1
Direct
0.000 0.000 0.000
0.000 0.000 0.500
0.000 0.500 0.500
0.500 0.000 0.500
0.500 0.500 0.000


[2]
CdHgAu2 | Alexandria via LeMat-Bulk | GGA-PBE | relaxed; total DFT energy (no corrections) = -1.98 eV per atom; Fermi-level density of states = 0.163 states/eV per atom; E_form = -0.039 eV/atom
1.0
-2.084 2.122 4.459
2.084 -2.122 4.459
2.084 2.122 -4.459
Cd Hg Au
1 1 2
Direct
0.000 0.000 0.000
0.251 0.751 0.500
0.501 0.501 0.000
0.750 0.250 0.500


[3]
La3Pm3Th2 | Alexandria via LeMat-Bulk | GGA-PBE | relaxed; total DFT energy (no corrections) = -5.45 eV per atom; Fermi-level density of states = 1.653 states/eV per atom; E_form = 0.037 eV/atom
1.0
5.108 0.000 0.000
-0.003 5.133 0.000
-2.549 -2.560 10.589
La Pm Th
3 3 2
Direct
0.000 0.000 0.000
0.132 0.631 0.263
0.868 0.369 0.737
0.369 0.869 0.738
0.500 0.500 0.000
0.631 0.131 0.262
0.250 0.250 0.500
0.750 0.750 0.500


[4]
SrLi3Bi | Alexandria via LeMat-Bulk | GGA-PBE | relaxed; polymorph energy (0 for the lowest one) = 1.050 eV/atom; total DFT energy (no corrections) = -1.57 eV per atom; Fermi-level density of states = 0.417 states/eV per atom; E_form = 0.691 eV/atom
1.0
5.451 0.000 0.000
0.000 5.451 0.000
0.000 0.000 5.451
Sr Li Bi
1 3 1
Direct
0.000 0.000 0.000
0.000 0.000 0.500
0.000 0.500 0.000
0.500 0.000 0.000
0.500 0.500 0.500


[5]
Ac5PbAu2 | Alexandria via LeMat-Bulk | GGA-PBE | relaxed; total DFT energy (no corrections) = -4.40 eV per atom; Fermi-level density of states = 1.223 states/eV per atom; E_form = -0.554 eV/atom
1.0
-4.427 4.427 7.259
4.427 -4.427 7.259
4.427 4.427 -7.259
Ac Pb Au
10 2 4
Direct
0.000 0.000 0.000
0.014 0.514 0.812
0.203 0.014 0.500
0.297 0.797 0.812
0.486 0.297 0.500
0.500 0.500 0.000
0.514 0.703 0.500
0.703 0.203 0.188
0.797 0.986 0.500
0.986 0.486 0.188
0.250 0.250 0.000
0.750 0.750 0.000
0.137 0.363 0.500
0.363 0.863 0.225
0.637 0.137 0.775
0.863 0.637 0.500


[6]
Sm6Cd6In | Alexandria via LeMat-Bulk | GGA-PBE | relaxed; total DFT energy (no corrections) = -2.98 eV per atom; Fermi-level density of states = 1.088 states/eV per atom; E_form = -0.173 eV/atom
1.0
6.140 0.000 0.000
-3.070 5.318 0.000
0.000 0.000 11.270
Sm Cd In
6 6 1
Direct
0.000 0.000 0.160
0.000 0.000 0.840
0.333 0.667 0.000
0.333 0.667 0.500
0.667 0.333 0.000
0.667 0.333 0.500
0.000 0.500 0.255
0.000 0.500 0.745
0.500 0.000 0.255
0.500 0.000 0.745
0.500 0.500 0.255
0.500 0.500 0.745
0.000 0.000 0.500


[7]
CsAlIn3 | Alexandria via LeMat-Bulk | GGA-PBE | relaxed; polymorph energy (0 for the lowest one) = 0.000 eV/atom; total DFT energy (no corrections) = -2.39 eV per atom; Fermi-level density of states = 0.743 states/eV per atom; E_form = 0.172 eV/atom
1.0
5.644 0.000 0.000
0.000 5.644 0.000
0.000 0.000 5.644
Cs Al In
1 1 3
Direct
0.000 0.000 0.000
0.500 0.500 0.500
0.000 0.500 0.500
0.500 0.000 0.500
0.500 0.500 0.000


[8]
CaH2I3 | Alexandria via LeMat-Bulk | GGA-PBE | relaxed; total DFT energy (no corrections) = -2.72 eV per atom
1.0
7.009 0.000 0.000
0.247 7.765 0.000
1.938 1.311 8.277
Ca H I
2 4 6
Direct
0.000 0.000 0.000
0.000 0.500 0.000
0.096 0.237 0.083
0.461 0.306 0.813
0.539 0.694 0.187
0.904 0.763 0.917
0.043 0.107 0.338
0.284 0.327 0.700
0.345 0.736 0.012
0.655 0.264 0.988
0.716 0.673 0.300
0.957 0.893 0.662


Among the records above, which one has the lowest total DFT energy (no corrections)?
La3Pm3Th2


Look up the total DFT energy (no corrections) of the third one.
-5.45 eV per atom


Among the records above, which one has the highest total DFT energy (no corrections)?
SrLi3Bi